Material: GaCuTcI2
Method: DFT, meta-GGA SCAN
State: PBEsol geometry

* crystal system: tetragonal
* N(E_F): 3.1 states/eV/f.u.
* space group: P4/mmm, No. 123
* energy above the most stable polymorph in this dataset: 0.027 eV/atom
* energy relative to the elements, uncorrected: 956 meV per atom
* M_tot: 4.138 μB per cell

Lattice parameters (Å, degrees): 5.3415 5.3415 4.5045 90.00 90.00 90.00
With the nearest neighbours (Å) after each atom.
Atoms (fractional coordinates):
Ga: 0.0000 0.0000 0.0000  2 Cu 2.25
Cu: 0.0000 0.0000 0.5000  2 Ga 2.25
Tc: 0.5000 0.5000 0.0000  8 I 3.49, 4 Ga 3.78
I: 0.0000 0.5000 0.5000  2 Cu 2.67
I: 0.5000 0.0000 0.5000  2 Cu 2.67


Material: RbZrS2N
Method: DFT, meta-GGA SCAN
State: PBEsol geometry

* crystal system: tetragonal
* N(E_F): 3.8 states/eV/f.u.
* space group: P4/mmm, No. 123
* energy above the most stable polymorph in this dataset: 2.488 eV/atom
* energy relative to the elements, uncorrected: 1564 meV per atom
* M_tot: 0.006 μB per cell

Lattice parameters (Å, degrees): 5.1408 5.1408 4.0988 90.00 90.00 90.00
With the nearest neighbours (Å) after each atom.
Atoms (fractional coordinates):
Rb: 0.0000 0.0000 0.0000  2 N 2.05
Zr: 0.5000 0.5000 0.5000  8 S 3.29, 4 N 3.64
S: 0.0000 0.5000 0.0000  2 Rb 2.57
S: 0.5000 0.0000 0.0000  2 Rb 2.57
N: 0.0000 0.0000 0.5000  2 Rb 2.05


Material: SbTeMo2
Method: DFT, meta-GGA SCAN
State: PBEsol geometry

* crystal system: monoclinic
* N(E_F): 2.7 states/eV/f.u.
* space group: Cm, No. 8
* energy above the most stable polymorph in this dataset: 0.027 eV/atom
* energy relative to the elements, uncorrected: 295 meV per atom
* M_tot: 0.000 μB per cell

Lattice parameters (Å, degrees): 5.0158 5.0158 4.8436 106.23 106.23 38.78
With the nearest neighbours (Å) after each atom.
Atoms (fractional coordinates):
Sb: 0.0000 0.0000 0.0000  7 Mo 2.70-2.96
Te: 0.2297 0.2297 0.6393  7 Mo 2.72-3.02
Mo: 0.4864 0.4864 0.4960  3 Te 2.72-2.76, 4 Sb 2.93-2.96, 2 Mo 2.98
Mo: 0.7414 0.7414 0.1276  3 Sb 2.70-2.75, 4 Te 2.87-3.02, 2 Mo 2.98


Material: SiSbW2
Method: DFT, meta-GGA SCAN
State: PBEsol geometry

* crystal system: orthorhombic
* N(E_F): 1.8 states/eV/f.u.
* space group: Cmm2, No. 35
* energy above the most stable polymorph in this dataset: 0.098 eV/atom
* energy relative to the elements, uncorrected: 508 meV per atom
* M_tot: 0.000 μB per cell

Lattice parameters (Å, degrees): 2.8394 2.8394 9.3025 90.00 90.00 108.92
With the nearest neighbours (Å) after each atom.
Atoms (fractional coordinates):
Si: 0.0000 0.0000 0.0000  2 W 2.56, 4 Si 2.84
Sb: 0.5000 0.5000 0.3078  4 Sb 2.84, 2 W 2.88
W: 0.0000 0.0000 0.5621  6 W 2.68-2.84, 2 Sb 2.88
W: 0.5000 0.5000 0.7894  2 Si 2.56, 6 W 2.68-2.84


Material: ScHgPb2
Method: DFT, meta-GGA SCAN
State: PBEsol geometry

* crystal system: orthorhombic
* N(E_F): 2.0 states/eV/f.u.
* space group: Cmmm, No. 65
* energy of formation: -0.25 eV/atom
* M_tot: 0.000 μB per cell

Lattice parameters (Å, degrees): 5.3025 5.3025 3.4844 90.00 90.00 93.22
With the nearest neighbours (Å) after each atom.
Atoms (fractional coordinates):
Sc: 0.0000 0.0000 0.0000  8 Pb 3.17, 2 Sc 3.48
Hg: 0.5000 0.5000 0.0000  8 Pb 3.17, 2 Hg 3.48
Pb: 0.0000 0.5000 0.5000  4 Hg 3.17, 4 Sc 3.17, 2 Pb 3.48
Pb: 0.5000 0.0000 0.5000  4 Hg 3.17, 4 Sc 3.17, 2 Pb 3.48


Material: ZrCdPdO2
Method: DFT, meta-GGA SCAN
State: PBEsol geometry

* crystal system: tetragonal
* N(E_F): 1.3 states/eV/f.u.
* space group: P4/mmm, No. 123
* energy relative to the elements, uncorrected: -1537 meV per atom
* M_tot: 0.000 μB per cell

Lattice parameters (Å, degrees): 3.9941 3.9941 5.4890 90.00 90.00 90.00
With the nearest neighbours (Å) after each atom.
Atoms (fractional coordinates):
Zr: 0.0000 0.0000 0.0000  4 O 2.00
Cd: 0.5000 0.5000 0.5000  4 Pd 2.82
Pd: 0.0000 0.0000 0.5000  2 Zr 2.74, 4 Cd 2.82
O: 0.0000 0.5000 0.0000  2 Zr 2.00
O: 0.5000 0.0000 0.0000  2 Zr 2.00